No. 1
TcIr3Rh | PBE | optimized geometry

Cell: 4.9359 10.3204 6.3363 Å, 90.00 90.00 90.00°
With the nearest neighbours (Å) after each atom.
Fractional positions:
Tc 0.0431 0.2500 0.1199  6 Ir 2.51-2.79, 2 Rh 2.70
Tc 0.4569 0.7500 0.6199  6 Ir 2.51-2.79, 2 Rh 2.70
Tc 0.5431 0.2500 0.3801  6 Ir 2.51-2.79, 2 Rh 2.70
Tc 0.9569 0.7500 0.8801  6 Ir 2.51-2.79, 2 Rh 2.70
Ir 0.0092 0.6160 0.5508  4 Ir 2.48-2.77, 2 Tc 2.52-2.64, 1 Rh 2.72
Ir 0.0092 0.8840 0.5508  4 Ir 2.48-2.77, 2 Tc 2.52-2.64, 1 Rh 2.72
Ir 0.2150 0.7500 0.2212  6 Ir 2.49-2.70, 1 Tc 2.51
Ir 0.2850 0.2500 0.7212  6 Ir 2.49-2.70, 1 Tc 2.51
Ir 0.4908 0.1160 0.0508  4 Ir 2.48-2.77, 2 Tc 2.52-2.64, 1 Rh 2.72
Ir 0.4908 0.3840 0.0508  4 Ir 2.48-2.77, 2 Tc 2.52-2.64, 1 Rh 2.72
Ir 0.5092 0.6160 0.9492  4 Ir 2.48-2.77, 2 Tc 2.52-2.64, 1 Rh 2.72
Ir 0.5092 0.8840 0.9492  4 Ir 2.48-2.77, 2 Tc 2.52-2.64, 1 Rh 2.72
Ir 0.7150 0.7500 0.2788  6 Ir 2.49-2.70, 1 Tc 2.51
Ir 0.7850 0.2500 0.7788  6 Ir 2.49-2.70, 1 Tc 2.51
Ir 0.9908 0.1160 0.4492  4 Ir 2.48-2.77, 2 Tc 2.52-2.64, 1 Rh 2.72
Ir 0.9908 0.3840 0.4492  4 Ir 2.48-2.77, 2 Tc 2.52-2.64, 1 Rh 2.72
Rh 0.0000 0.0000 0.0000  2 Tc 2.70, 4 Ir 2.72-2.80
Rh 0.0000 0.5000 0.0000  2 Tc 2.70, 4 Ir 2.72-2.80
Rh 0.5000 0.0000 0.5000  2 Tc 2.70, 4 Ir 2.72-2.80
Rh 0.5000 0.5000 0.5000  2 Tc 2.70, 4 Ir 2.72-2.80

Summary:
Its symmetry is Pnma, No. 62. The value obtained for the formation energy is 2.0 eV per formula unit. The value obtained for the spin magnetization is 0.0 μB/cell.

No. 2
RbLaGaIr2 | PBE | optimized geometry

Cell: 4.9701 4.9701 5.6637 Å, 90.00 90.00 90.00°
With the nearest neighbours (Å) after each atom.
Fractional positions:
Rb 0.0000 0.0000 0.0000  4 La 3.51, 8 Ir 3.77
La 0.5000 0.5000 0.0000  2 Ga 2.83
Ga 0.5000 0.5000 0.5000  4 Ir 2.49
Ir 0.0000 0.5000 0.5000  2 Ga 2.49
Ir 0.5000 0.0000 0.5000  2 Ga 2.49

Summary:
Its symmetry is P4/mmm, No. 123. The value obtained for the formation energy is 3.2 eV per formula unit. The value obtained for the spin magnetization is 0.0 μB/cell.

No. 3
Ag2HgCl | PBE | optimized geometry

Cell: 6.7549 6.7549 4.9436 Å, 90.62 90.62 28.14°
With the nearest neighbours (Å) after each atom.
Fractional positions:
Ag 0.0000 0.0000 0.0000  2 Cl 2.78, 2 Ag 2.80, 4 Hg 3.05
Ag 0.6733 0.6733 0.0049  2 Cl 2.62, 2 Ag 2.80, 2 Hg 2.93
Hg 0.5529 0.5529 0.5014  6 Ag 2.93-3.05
Cl 0.3291 0.3291 0.9980  4 Ag 2.62-2.78

Summary:
Its symmetry is Cm, No. 8. The formation energy from raw total energies is -0.14 eV per atom. The value obtained for the spin magnetization is 0.0 μB/cell.

No. 4
Y12Co6Hg | PBE | optimized geometry

Cell: 8.3818 8.3818 8.3818 Å, 109.47 109.47 109.47°
With the nearest neighbours (Å) after each atom.
Fractional positions:
Y 0.1081 0.3020 0.8062  3 Co 2.68-2.89
Y 0.1938 0.4958 0.3020  3 Co 2.68-2.89
Y 0.1938 0.8919 0.6980  3 Co 2.68-2.89
Y 0.3020 0.1938 0.4958  3 Co 2.68-2.89
Y 0.3020 0.8062 0.1081  3 Co 2.68-2.89
Y 0.4958 0.3020 0.1938  3 Co 2.68-2.89
Y 0.5042 0.6980 0.8062  3 Co 2.68-2.89
Y 0.6980 0.1938 0.8919  3 Co 2.68-2.89
Y 0.6980 0.8062 0.5042  3 Co 2.68-2.89
Y 0.8062 0.1081 0.3020  3 Co 2.68-2.89
Y 0.8062 0.5042 0.6980  3 Co 2.68-2.89
Y 0.8919 0.6980 0.1938  3 Co 2.68-2.89
Co 0.1125 0.5000 0.6125  1 Co 2.18
Co 0.3875 0.8875 0.5000  1 Co 2.18
Co 0.5000 0.3875 0.8875  1 Co 2.18
Co 0.5000 0.6125 0.1125  1 Co 2.18
Co 0.6125 0.1125 0.5000  1 Co 2.18
Co 0.8875 0.5000 0.3875  1 Co 2.18
Hg 0.0000 0.0000 0.0000  12 Y 3.47

Summary:
Its symmetry is Im-3, No. 204. The value obtained for the formation energy is -4.3 eV per formula unit. The value obtained for the spin magnetization is 0.0 μB/cell.

No. 5
ZrIr2Pb | PBE | optimized geometry

Cell: 4.6118 4.6118 3.5298 Å, 90.00 90.00 97.55°
With the nearest neighbours (Å) after each atom.
Fractional positions:
Zr 0.0000 0.0000 0.0000  8 Ir 2.90, 2 Pb 3.04
Ir 0.0000 0.5000 0.5000  4 Pb 2.90, 4 Zr 2.90, 2 Ir 3.04
Ir 0.5000 0.0000 0.5000  4 Pb 2.90, 4 Zr 2.90, 2 Ir 3.04
Pb 0.5000 0.5000 0.0000  8 Ir 2.90, 2 Zr 3.04

Summary:
Its symmetry is Cmmm, No. 65. The value obtained for the formation energy is -0.7 eV per formula unit. The value obtained for the spin magnetization is 0.0 μB/cell.

No. 6
VTc3Rh | PBE | optimized geometry

Cell: 4.3883 4.3883 4.3883 Å, 90.00 90.00 90.00°
With the nearest neighbours (Å) after each atom.
Fractional positions:
V 0.0000 0.0000 0.0000  6 Tc 2.19
Tc 0.0000 0.0000 0.5000  2 V 2.19
Tc 0.0000 0.5000 0.0000  2 V 2.19
Tc 0.5000 0.0000 0.0000  2 V 2.19
Rh 0.5000 0.5000 0.5000  12 Tc 3.10

Summary:
Its symmetry is Pm-3m, No. 221. The value obtained for the formation energy is 6.1 eV per formula unit. The value obtained for the spin magnetization is 0.0 μB/cell.